RbYPdF6 | PBE-GGA | relaxed

## Properties
DFT total energy ... -97.62 eV/cell
Magnetic moment ... 4.003 Bohr magnetons per cell
Crystal system ... orthorhombic
Raw formation energy ... -2.773 eV per atom

Unit cell a=8.072 b=8.072 c=8.072 alpha=122.06 beta=118.17 gamma=89.83
Positions (direct):
Rb: 0.321 0.071 0.250
Rb: 0.679 0.929 0.750
Y: 0.000 0.500 0.500
Y: 0.500 0.500 0.000
Pd: 0.000 0.000 0.500
Pd: 0.000 0.500 0.000
F: 0.066 0.412 0.237
F: 0.066 0.829 0.654
F: 0.081 0.831 0.250
F: 0.316 0.566 0.750
F: 0.325 0.171 0.737
F: 0.325 0.588 0.154
F: 0.675 0.412 0.846
F: 0.675 0.829 0.263
F: 0.684 0.434 0.250
F: 0.919 0.169 0.750
F: 0.934 0.171 0.346
F: 0.934 0.588 0.763